DFT (PBE) results for NpTlSnO6 after structural relaxation.

CIF file:
```
data_NpTlSnO6
_chemical_formula_sum 'Np2 Tl2 Sn2 O12'
_space_group_name_H-M_alt 'P -3 1 c'
_space_group_IT_number 163
_space_group_name_Hall '-P 3 2c'
_cell_length_a 5.5694
_cell_length_b 5.5694
_cell_length_c 12.3267
_cell_angle_alpha 90.00
_cell_angle_beta 90.00
_cell_angle_gamma 120.00
loop_
_atom_site_label
_atom_site_type_symbol
_atom_site_fract_x
_atom_site_fract_y
_atom_site_fract_z
Np1 Np 0.3333 0.6667 0.2500
Tl1 Tl 0.0000 0.0000 0.0000
Sn1 Sn 0.3333 0.6667 0.7500
O1 O 0.0079 0.3829 0.1584
```

energy relative to the elements, uncorrected = -16.31 eV per formula unit
total moment = 0.00 μB per atom
total DFT energy (no corrections) = -130.75 eV for the cell shown